Material: AlTlMo2
Method: DFT, PBE-GGA
State: optimized geometry

- Calculated volume: 68.5 Å³/cell
- Fermi-level density of states: 1.207 states/eV per atom
- E above lowest polymorph: 382 meV/atom
- SG: Fm-3m (225)
- Calculated density: 10.257 g/cm3
- ΔH_f (0 K): 0.60 eV/atom

a = 4.593 Å, b = 4.593 Å, c = 4.593 Å
α = 60.00°, β = 60.00°, γ = 60.00°
Fractional positions:
Al (0.000, 0.000, 0.000)
Tl (0.500, 0.500, 0.500)
Mo (0.250, 0.250, 0.250)
Mo (0.750, 0.750, 0.750)